Compound: LaScCl2
Source: the Alexandria database
Functional: GGA-PBE
Structure: relaxed

M_tot = 0.00 μB per formula unit
distance to the lowest polymorph of the same formula = 353.9 meV per atom
Fermi-level density of states = 4.05 states/eV/cell
energy relative to the elements, uncorrected = -1.017 eV per atom
total DFT energy (no corrections) = -4.75 eV/atom

```
LaScCl2
1.0
-1.980 1.980 6.552
1.980 -1.980 6.552
1.980 1.980 -6.552
La Sc Cl
1 1 2
Direct
0.000 0.000 0.000
0.250 0.750 0.500
0.500 0.500 0.000
0.750 0.250 0.500
```